Compound: ErZnSnRh
Source: Alexandria
Functional: GGA-PBE
Structure: optimized geometry

The density of states at the Fermi level comes out at 0.61 states/eV/atom. The formation energy from the elements comes out at -532 meV per atom.

It has space group F-43m (No. 216), with a = 6.7049 Å, b = 6.7049 Å, c = 6.7049 Å, α = 90.00°, β = 90.00° and γ = 90.00°. Symmetry generates all atoms from Er at (0.0000, 0.0000, 0.0000), Zn at (0.2500, 0.2500, 0.7500), Sn at (0.0000, 0.0000, 0.5000) and Rh at (0.2500, 0.2500, 0.2500).